Record 1
NaScAs2O6 | PBE-GGA | optimized geometry

Values from the calculation:
Total moment, μB/atom: 0.19
E_form (uncorrected), kJ/mol of formula units: -1653

Cell lengths 5.4093, 5.4093, 16.3321 Å; angles 90.00, 90.00, 120.00 degrees
Space group R-3 (No. 148, hexagonal axes)
Inequivalent atoms, fractional coordinates:
Na1 0.0000 0.0000 0.0000 [3 per cell]
Sc1 0.0000 0.0000 0.5000 [3 per cell]
As1 0.0000 0.0000 0.2743 [6 per cell]
O1 0.0115 0.3770 0.9078 [18 per cell]

***

Record 2
CdIn2Pd5 | PBE-GGA | optimized geometry

Values from the calculation:
ΔE_f, meV/atom: -429.0
Total moment, μB/atom: 0.00

Cell lengths 4.763, 4.763, 12.087 Å; angles 90.00, 90.00, 90.00 degrees
Space group I4/mmm (No. 139)
Inequivalent atoms, fractional coordinates:
Cd1 0.000 0.000 0.000 [2 per cell]
In1 0.000 0.000 0.258 [4 per cell]
Pd1 0.000 0.000 0.500 [2 per cell]
Pd2 0.000 0.500 0.127 [8 per cell]

***

Record 3
AlCu3N | PBE-GGA | optimized geometry

Values from the calculation:
Total moment, μB/atom: 0.00
Energy above the lowest structure with this stoichiometry, kcal/mol of atoms: 0.00
E_form (uncorrected), kJ/mol of formula units: 170

Cell lengths 3.971, 3.971, 3.971 Å; angles 90.00, 90.00, 90.00 degrees
Space group Pm-3m (No. 221)
Inequivalent atoms, fractional coordinates:
Al1 0.000 0.000 0.000 [1 per cell]
Cu1 0.000 0.500 0.500 [3 per cell]
N1 0.500 0.500 0.500 [1 per cell]